Compound: P2Pt2Pb
Source: Alexandria
Functional: PBE-GGA
Structure: relaxed

a = 4.473 Å, b = 4.473 Å, c = 5.728 Å
α = 67.02°, β = 67.02°, γ = 90.00°
Fractional positions:
P: 0.750 0.250 0.500
P: 0.250 0.750 0.500
Pt: 0.651 0.651 0.699
Pt: 0.349 0.349 0.301
Pb: 0.000 0.000 0.000

The total DFT energy (no corrections) is -27.65 eV per cell. The formation energy comes out at -209 meV per atom. The calculation puts the volume at 19.11 A^3/atom.


Compound: Pr6YAl
Source: Alexandria
Functional: PBE-GGA
Structure: relaxed

a = 5.032 Å, b = 5.032 Å, c = 10.336 Å
α = 90.00°, β = 90.00°, γ = 90.00°
Fractional positions:
Pr: 0.500 0.000 0.738
Pr: 0.000 0.500 0.262
Pr: 0.000 0.500 0.738
Pr: 0.500 0.000 0.262
Pr: 0.500 0.500 0.500
Pr: 0.500 0.500 0.000
Y: 0.000 0.000 0.000
Al: 0.000 0.000 0.500

The total DFT energy (no corrections) is -39.35 eV per cell. The formation energy comes out at -58 meV per atom. The calculation puts the volume at 32.72 A^3/atom.


Compound: CsLiBiS2
Source: Alexandria
Functional: PBE-GGA
Structure: relaxed

a = 4.024 Å, b = 7.970 Å, c = 8.778 Å
α = 89.98°, β = 90.00°, γ = 90.00°
Fractional positions:
S: 0.500 0.225 0.000
S: 0.500 0.225 0.500
S: 0.500 0.775 0.000
S: 0.500 0.775 0.500
Cs: 0.001 0.500 0.750
Cs: 0.999 0.500 0.250
Bi: 0.500 0.000 0.250
Bi: 0.500 0.000 0.750
Li: 0.000 0.000 0.500
Li: 0.000 0.000 0.000

The total DFT energy (no corrections) is -37.60 eV per cell. The uncorrected formation energy comes out at -779 meV/atom. The calculation puts the volume at 28.15 A^3/atom.


Compound: MnCdOs2
Source: Alexandria
Functional: PBE-GGA
Structure: relaxed

a = 4.842 Å, b = 4.842 Å, c = 4.842 Å
α = 132.68°, β = 132.68°, γ = 69.16°
Site moments in Bohr magnetons follow the coordinates.
Fractional positions:
Os: 0.000 0.000 0.000  -0.53
Os: 0.500 0.500 0.000  -0.53
Mn: 0.750 0.250 0.500  2.61
Cd: 0.250 0.750 0.500  -0.01

The total DFT energy (no corrections) is -30.27 eV per cell. The formation energy comes out at 568 meV per atom. The calculation puts the volume at 15.05 A^3/atom.


Compound: LiCe2Dy
Source: Alexandria
Functional: PBE-GGA
Structure: relaxed

a = 3.273 Å, b = 3.273 Å, c = 10.353 Å
α = 90.00°, β = 90.00°, γ = 90.00°
Site moments in Bohr magnetons follow the coordinates.
Fractional positions:
Dy: 0.500 0.500 0.500  0.02
Ce: 0.000 0.000 0.758  0.71
Ce: 0.000 0.000 0.242  0.71
Li: 0.500 0.500 0.000  0.02

The total DFT energy (no corrections) is -17.57 eV per cell. The formation energy comes out at 202 meV per atom. The calculation puts the volume at 27.72 A^3/atom. The energy above the most stable polymorph in this dataset comes out at 0 meV/atom.


Compound: Nd3ZnSn2
Source: Alexandria
Functional: PBE-GGA
Structure: relaxed

a = 4.587 Å, b = 12.166 Å, c = 12.498 Å
α = 90.00°, β = 90.00°, γ = 90.00°
Fractional positions:
Nd: 0.250 0.124 0.552
Nd: 0.750 0.624 0.948
Nd: 0.250 0.698 0.210
Nd: 0.250 0.434 0.371
Nd: 0.750 0.876 0.448
Nd: 0.750 0.934 0.129
Nd: 0.250 0.802 0.710
Nd: 0.750 0.198 0.290
Nd: 0.250 0.066 0.871
Nd: 0.750 0.566 0.629
Nd: 0.750 0.302 0.790
Nd: 0.250 0.376 0.052
Sn: 0.250 0.995 0.311
Sn: 0.750 0.319 0.519
Sn: 0.250 0.681 0.481
Sn: 0.750 0.181 0.019
Sn: 0.750 0.495 0.189
Sn: 0.750 0.005 0.689
Sn: 0.250 0.505 0.811
Sn: 0.250 0.819 0.981
Zn: 0.250 0.142 0.141
Zn: 0.750 0.642 0.359
Zn: 0.250 0.358 0.641
Zn: 0.750 0.858 0.859

The total DFT energy (no corrections) is -109.57 eV per cell. The formation energy comes out at -635 meV per atom. The calculation puts the volume at 29.06 A^3/atom.


Compound: NiAg2Os
Source: Alexandria
Functional: PBE-GGA
Structure: relaxed

a = 9.344 Å, b = 9.344 Å, c = 9.344 Å
α = 17.00°, β = 17.00°, γ = 17.00°
Site moments in Bohr magnetons follow the coordinates.
Fractional positions:
Ag: 0.244 0.244 0.244  0.00
Ag: 0.002 0.002 0.002  0.01
Os: 0.758 0.758 0.758  0.05
Ni: 0.496 0.496 0.496  0.30

The total DFT energy (no corrections) is -21.46 eV per cell. The formation energy comes out at 314 meV per atom. The calculation puts the volume at 15.21 A^3/atom. The energy above the most stable polymorph in this dataset comes out at 0 meV/atom.


Compound: LiAg2Os
Source: Alexandria
Functional: PBE-GGA
Structure: relaxed

a = 9.629 Å, b = 9.629 Å, c = 9.629 Å
α = 16.52°, β = 16.52°, γ = 16.52°
Fractional positions:
Os: 0.750 0.750 0.750
Ag: 0.502 0.502 0.502
Ag: 0.998 0.998 0.998
Li: 0.250 0.250 0.250

The total DFT energy (no corrections) is -17.70 eV per cell. The formation energy comes out at 287 meV per atom. The calculation puts the volume at 15.73 A^3/atom. The energy above the most stable polymorph in this dataset comes out at 8 meV/atom.


Compound: Dy2Zn2InPt5
Source: Alexandria
Functional: PBE-GGA
Structure: relaxed

a = 3.856 Å, b = 9.669 Å, c = 9.669 Å
α = 90.00°, β = 90.00°, γ = 90.00°
Fractional positions:
In: 0.000 0.500 0.500
In: 0.000 0.000 0.000
Pt: 0.500 0.432 0.292
Pt: 0.500 0.792 0.932
Pt: 0.500 0.932 0.208
Pt: 0.500 0.708 0.432
Pt: 0.500 0.500 0.000
Pt: 0.500 0.000 0.500
Pt: 0.500 0.292 0.568
Pt: 0.500 0.568 0.708
Pt: 0.500 0.208 0.068
Pt: 0.500 0.068 0.792
Dy: 0.000 0.824 0.676
Dy: 0.000 0.676 0.176
Dy: 0.000 0.176 0.324
Dy: 0.000 0.324 0.824
Zn: 0.000 0.880 0.380
Zn: 0.000 0.120 0.620
Zn: 0.000 0.380 0.120
Zn: 0.000 0.620 0.880

The total DFT energy (no corrections) is -106.20 eV per cell. The formation energy comes out at -841 meV per atom. The calculation puts the volume at 18.03 A^3/atom.


Compound: TmPaS2
Source: Alexandria
Functional: PBE-GGA
Structure: relaxed

a = 3.634 Å, b = 3.634 Å, c = 7.522 Å
α = 76.02°, β = 76.02°, γ = 60.00°
Fractional positions:
Pa: 0.669 0.669 0.992
S: 0.087 0.087 0.740
S: 0.247 0.247 0.259
Tm: 0.497 0.497 0.508

The total DFT energy (no corrections) is -28.82 eV per cell. The uncorrected formation energy comes out at -1650 meV/atom. The calculation puts the volume at 20.65 A^3/atom. The energy above the most stable polymorph in this dataset comes out at 102 meV/atom.


Compound: LuAl2Zn
Source: Alexandria
Functional: PBE-GGA
Structure: relaxed

a = 4.212 Å, b = 4.184 Å, c = 4.184 Å
α = 90.00°, β = 90.00°, γ = 90.00°
Fractional positions:
Zn: 0.500 0.000 0.000
Al: 0.000 0.500 0.000
Al: 0.000 0.000 0.500
Lu: 0.500 0.500 0.500

The total DFT energy (no corrections) is -14.70 eV per cell. The formation energy comes out at -356 meV per atom. The calculation puts the volume at 18.44 A^3/atom.


Compound: SrInH3
Source: Alexandria
Functional: PBE-GGA
Structure: relaxed

a = 4.233 Å, b = 4.233 Å, c = 4.233 Å
α = 90.00°, β = 90.00°, γ = 90.00°
Fractional positions:
Sr: 0.500 0.500 0.500
H: 0.500 0.000 0.000
H: 0.000 0.000 0.500
H: 0.000 0.500 0.000
In: 0.000 0.000 0.000

The total DFT energy (no corrections) is -14.14 eV per cell. The calculation puts the volume at 15.17 A^3/atom. The energy above the most stable polymorph in this dataset comes out at 20 meV/atom.


Compound: TlPtRh2F
Source: Alexandria
Functional: PBE-GGA
Structure: relaxed

a = 4.152 Å, b = 4.952 Å, c = 4.152 Å
α = 90.00°, β = 90.00°, γ = 90.00°
Fractional positions:
Tl: 0.500 0.500 0.500
F: 0.000 0.000 0.000
Pt: 0.000 0.500 0.000
Rh: 0.500 0.000 0.000
Rh: 0.000 0.000 0.500

The total DFT energy (no corrections) is -22.31 eV per cell. The uncorrected formation energy comes out at 535 meV/atom. The calculation puts the volume at 17.08 A^3/atom.


Compound: LiTc2Se
Source: Alexandria
Functional: PBE-GGA
Structure: relaxed

a = 4.471 Å, b = 4.471 Å, c = 4.471 Å
α = 125.40°, β = 125.40°, γ = 80.88°
Fractional positions:
Tc: 0.250 0.750 0.500
Tc: 0.000 0.000 0.000
Li: 0.500 0.500 0.000
Se: 0.750 0.250 0.500

The total DFT energy (no corrections) is -25.51 eV per cell. The uncorrected formation energy comes out at 155 meV/atom. The calculation puts the volume at 14.31 A^3/atom.


Compound: La2NdPb
Source: Alexandria
Functional: PBE-GGA
Structure: relaxed

a = 3.732 Å, b = 3.732 Å, c = 11.716 Å
α = 80.84°, β = 80.84°, γ = 60.00°
Fractional positions:
La: 0.080 0.080 0.761
La: 0.254 0.254 0.239
Pb: 0.666 0.666 0.001
Nd: 0.500 0.500 0.499

The total DFT energy (no corrections) is -18.98 eV per cell. The formation energy comes out at -161 meV per atom. The calculation puts the volume at 34.72 A^3/atom. The energy above the most stable polymorph in this dataset comes out at 212 meV/atom.


Compound: Na2SnHgI6
Source: Alexandria
Functional: PBE-GGA
Structure: relaxed

a = 7.997 Å, b = 7.995 Å, c = 8.982 Å
α = 63.52°, β = 63.49°, γ = 59.98°
Fractional positions:
Sn: 0.822 0.821 0.536
I: 0.742 0.091 0.728
I: 0.439 0.741 0.729
I: 0.261 0.914 0.217
I: 0.914 0.608 0.218
I: 0.608 0.260 0.218
I: 0.090 0.439 0.730
Na: 0.501 0.502 0.495
Na: 0.025 0.025 0.924
Hg: 0.259 0.260 0.221

The total DFT energy (no corrections) is -23.35 eV per cell. The uncorrected formation energy comes out at -711 meV/atom. The calculation puts the volume at 42.62 A^3/atom.


Compound: KYRu2
Source: Alexandria
Functional: PBE-GGA
Structure: relaxed

a = 3.051 Å, b = 3.781 Å, c = 9.065 Å
α = 90.00°, β = 90.00°, γ = 90.00°
Fractional positions:
Ru: 0.000 0.000 0.099
Ru: 0.500 0.500 0.196
Y: 0.000 0.000 0.393
K: 0.500 0.500 0.812

The total DFT energy (no corrections) is -24.58 eV per cell. The formation energy comes out at 384 meV per atom. The calculation puts the volume at 26.15 A^3/atom. The energy above the most stable polymorph in this dataset comes out at 61 meV/atom.


Compound: BNF2
Source: Alexandria
Functional: PBE-GGA
Structure: relaxed

a = 4.792 Å, b = 4.792 Å, c = 4.791 Å
α = 60.00°, β = 60.00°, γ = 90.00°
Site moments in Bohr magnetons follow the coordinates.
Fractional positions:
F: 0.376 0.625 0.250  0.01
F: 0.875 0.624 0.750  0.01
F: 0.374 0.125 0.250  0.01
F: 0.375 0.626 0.750  0.01
N: 0.750 0.250 0.500  1.36
N: 0.000 0.000 0.000  1.36
B: 0.500 0.500 0.000  -0.06
B: 0.250 0.750 0.500  -0.06

The total DFT energy (no corrections) is -33.94 eV per cell. The uncorrected formation energy comes out at 443 meV/atom. The calculation puts the volume at 9.72 A^3/atom. The energy above the most stable polymorph in this dataset comes out at 51 meV/atom.


Compound: YRuAu4
Source: Alexandria
Functional: PBE-GGA
Structure: relaxed

a = 5.484 Å, b = 5.484 Å, c = 5.484 Å
α = 60.00°, β = 60.00°, γ = 60.00°
Site moments in Bohr magnetons follow the coordinates.
Fractional positions:
Au: 0.874 0.375 0.375  0.00
Au: 0.375 0.874 0.375  0.00
Au: 0.375 0.375 0.375  0.00
Au: 0.375 0.375 0.874  0.00
Y: 0.000 0.000 0.000  -0.04
Ru: 0.750 0.750 0.750  1.08

The total DFT energy (no corrections) is -29.22 eV per cell. The formation energy comes out at -61 meV per atom. The calculation puts the volume at 19.44 A^3/atom.


Compound: KZrAg2
Source: Alexandria
Functional: PBE-GGA
Structure: relaxed

a = 10.748 Å, b = 10.748 Å, c = 10.748 Å
α = 17.38°, β = 17.38°, γ = 17.38°
Fractional positions:
K: 0.250 0.250 0.250
Ag: 0.009 0.009 0.009
Ag: 0.491 0.491 0.491
Zr: 0.750 0.750 0.750

The total DFT energy (no corrections) is -14.18 eV per cell. The formation energy comes out at 291 meV per atom. The calculation puts the volume at 24.16 A^3/atom. The energy above the most stable polymorph in this dataset comes out at 169 meV/atom.


Compound: Dy2YZn2Ge2
Source: Alexandria
Functional: PBE-GGA
Structure: relaxed

a = 4.127 Å, b = 4.127 Å, c = 11.335 Å
α = 79.51°, β = 79.51°, γ = 60.00°
Fractional positions:
Y: 0.000 0.000 0.000
Dy: 0.876 0.876 0.371
Dy: 0.124 0.124 0.629
Ge: 0.264 0.264 0.207
Ge: 0.736 0.736 0.793
Zn: 0.611 0.611 0.168
Zn: 0.389 0.389 0.832

The total DFT energy (no corrections) is -30.64 eV per cell. The formation energy comes out at -455 meV per atom. The calculation puts the volume at 23.35 A^3/atom.


Compound: SrMgAgAu
Source: Alexandria
Functional: PBE-GGA
Structure: relaxed

a = 4.758 Å, b = 4.756 Å, c = 5.946 Å
α = 113.55°, β = 90.00°, γ = 120.01°
Fractional positions:
Ag: 0.824 0.648 0.114
Sr: 0.618 0.236 0.497
Au: 0.414 0.827 0.883
Mg: 0.111 0.221 0.975

The total DFT energy (no corrections) is -11.35 eV per cell. The formation energy comes out at -485 meV per atom. The calculation puts the volume at 25.84 A^3/atom.


Compound: LaCeGeIr
Source: Alexandria
Functional: PBE-GGA
Structure: relaxed

a = 4.663 Å, b = 4.663 Å, c = 10.221 Å
α = 90.00°, β = 90.00°, γ = 90.00°
Site moments in Bohr magnetons follow the coordinates.
Fractional positions:
Ir: 0.000 0.500 0.351  -0.01
Ir: 0.500 0.000 0.649  -0.01
Ce: 0.500 0.500 0.500  0.22
Ce: 0.000 0.000 0.500  0.22
Ge: 0.000 0.500 0.116  0.00
Ge: 0.500 0.000 0.884  0.00
La: 0.000 0.500 0.832  0.01
La: 0.500 0.000 0.168  0.01

The total DFT energy (no corrections) is -52.83 eV per cell. The formation energy comes out at -519 meV per atom. The calculation puts the volume at 27.78 A^3/atom.


Compound: AcYAlCd
Source: Alexandria
Functional: PBE-GGA
Structure: relaxed

a = 5.477 Å, b = 5.477 Å, c = 5.477 Å
α = 60.00°, β = 60.00°, γ = 60.00°
Fractional positions:
Ac: 0.250 0.250 0.250
Y: 0.750 0.750 0.750
Al: 0.500 0.500 0.500
Cd: 0.000 0.000 0.000

The total DFT energy (no corrections) is -16.31 eV per cell. The formation energy comes out at -270 meV per atom. The calculation puts the volume at 29.05 A^3/atom.


Compound: Li3TbPb2
Source: Alexandria
Functional: PBE-GGA
Structure: relaxed

a = 4.712 Å, b = 7.646 Å, c = 8.794 Å
α = 65.72°, β = 74.33°, γ = 71.77°
Fractional positions:
Pb: 0.551 0.109 0.802
Pb: 0.449 0.891 0.198
Pb: 0.789 0.690 0.731
Pb: 0.211 0.310 0.269
Li: 0.727 0.092 0.455
Li: 0.945 0.717 0.385
Li: 0.403 0.514 0.681
Li: 0.273 0.908 0.545
Li: 0.055 0.283 0.615
Li: 0.597 0.486 0.319
Tb: 0.139 0.746 0.978
Tb: 0.861 0.254 0.022

The total DFT energy (no corrections) is -39.75 eV per cell. The formation energy comes out at -348 meV per atom. The calculation puts the volume at 22.55 A^3/atom.


Compound: Er2Sc2Ge2C
Source: Alexandria
Functional: PBE-GGA
Structure: relaxed

a = 4.390 Å, b = 4.390 Å, c = 8.095 Å
α = 105.73°, β = 105.73°, γ = 90.00°
Fractional positions:
Er: 0.835 0.835 0.670
Er: 0.165 0.165 0.330
C: 0.000 0.000 0.000
Sc: 0.000 0.500 0.000
Sc: 0.500 0.000 0.000
Ge: 0.634 0.634 0.269
Ge: 0.366 0.366 0.731

The total DFT energy (no corrections) is -46.19 eV per cell. The formation energy comes out at -849 meV per atom. The calculation puts the volume at 20.58 A^3/atom.